Material: PmHoSnTe
Method: DFT, GGA-PBE
State: relaxed Values from VASP.

Cell and atoms, written as Quantum ESPRESSO input:
```
&SYSTEM
  ibrav = 0, nat = 12, ntyp = 4
/
ATOMIC_SPECIES
Pm 145.00 Pm.upf
Ho 164.93 Ho.upf
Sn 118.71 Sn.upf
Te 127.60 Te.upf
ATOMIC_POSITIONS crystal
Pm 0.000 0.000 0.000
Pm 0.333 0.667 0.667
Pm 0.667 0.333 0.333
Ho 0.000 0.000 0.492
Ho 0.333 0.667 0.159
Ho 0.667 0.333 0.826
Sn 0.000 0.000 0.749
Sn 0.333 0.667 0.415
Sn 0.667 0.333 0.082
Te 0.000 0.000 0.243
Te 0.333 0.667 0.910
Te 0.667 0.333 0.576
CELL_PARAMETERS angstrom
4.430 0.000 0.000
-2.215 3.836 0.000
0.000 0.000 21.838
```

Values from the calculation:
Formation energy from raw total energies ... -1.06 eV/atom

Material: PmHoThSn
Method: DFT, GGA-PBE
State: relaxed Values from VASP.

Cell and atoms, written as Quantum ESPRESSO input:
```
&SYSTEM
  ibrav = 0, nat = 16, ntyp = 4
/
ATOMIC_SPECIES
Pm 145.00 Pm.upf
Ho 164.93 Ho.upf
Th 232.04 Th.upf
Sn 118.71 Sn.upf
ATOMIC_POSITIONS crystal
Pm 0.000 0.000 0.000
Pm 0.000 0.500 0.500
Pm 0.500 0.000 0.500
Pm 0.500 0.500 0.000
Ho 0.250 0.250 0.750
Ho 0.250 0.750 0.250
Ho 0.750 0.250 0.250
Ho 0.750 0.750 0.750
Th 0.250 0.250 0.250
Th 0.250 0.750 0.750
Th 0.750 0.250 0.750
Th 0.750 0.750 0.250
Sn 0.000 0.000 0.500
Sn 0.000 0.500 0.000
Sn 0.500 0.000 0.000
Sn 0.500 0.500 0.500
CELL_PARAMETERS angstrom
7.759 0.000 0.000
0.000 7.759 0.000
0.000 0.000 7.759
```

Values from the calculation:
Energy of formation ... -0.15 eV/atom

Material: PmYHoSn
Method: DFT, GGA-PBE
State: relaxed Values from VASP.

Cell and atoms, written as Quantum ESPRESSO input:
```
&SYSTEM
  ibrav = 0, nat = 16, ntyp = 4
/
ATOMIC_SPECIES
Pm 145.00 Pm.upf
Y 88.91 Y.upf
Ho 164.93 Ho.upf
Sn 118.71 Sn.upf
ATOMIC_POSITIONS crystal
Pm 0.000 0.000 0.000
Pm 0.000 0.500 0.500
Pm 0.500 0.000 0.500
Pm 0.500 0.500 0.000
Y 0.250 0.250 0.750
Y 0.250 0.750 0.250
Y 0.750 0.250 0.250
Y 0.750 0.750 0.750
Ho 0.250 0.250 0.250
Ho 0.250 0.750 0.750
Ho 0.750 0.250 0.750
Ho 0.750 0.750 0.250
Sn 0.000 0.000 0.500
Sn 0.000 0.500 0.000
Sn 0.500 0.000 0.000
Sn 0.500 0.500 0.500
CELL_PARAMETERS angstrom
7.694 0.000 0.000
0.000 7.694 0.000
0.000 0.000 7.694
```

Values from the calculation:
Energy of formation ... -0.22 eV/atom

Material: PmHoZnSn
Method: DFT, GGA-PBE
State: relaxed Values from VASP.

Cell and atoms, written as Quantum ESPRESSO input:
```
&SYSTEM
  ibrav = 0, nat = 16, ntyp = 4
/
ATOMIC_SPECIES
Pm 145.00 Pm.upf
Ho 164.93 Ho.upf
Zn 65.41 Zn.upf
Sn 118.71 Sn.upf
ATOMIC_POSITIONS crystal
Pm 0.000 0.000 0.000
Pm 0.000 0.500 0.500
Pm 0.500 0.000 0.500
Pm 0.500 0.500 0.000
Ho 0.000 0.000 0.500
Ho 0.000 0.500 0.000
Ho 0.500 0.000 0.000
Ho 0.500 0.500 0.500
Zn 0.250 0.250 0.250
Zn 0.250 0.750 0.750
Zn 0.750 0.250 0.750
Zn 0.750 0.750 0.250
Sn 0.250 0.250 0.750
Sn 0.250 0.750 0.250
Sn 0.750 0.250 0.250
Sn 0.750 0.750 0.750
CELL_PARAMETERS angstrom
7.407 0.000 0.000
0.000 7.407 0.000
0.000 0.000 7.407
```

Values from the calculation:
Energy of formation ... -0.50 eV/atom

Material: PmHo2Zn2Sn2
Method: DFT, GGA-PBE
State: relaxed Values from VASP.

Cell and atoms, written as Quantum ESPRESSO input:
```
&SYSTEM
  ibrav = 0, nat = 7, ntyp = 4
/
ATOMIC_SPECIES
Pm 145.00 Pm.upf
Ho 164.93 Ho.upf
Zn 65.41 Zn.upf
Sn 118.71 Sn.upf
ATOMIC_POSITIONS crystal
Pm 0.000 0.000 0.000
Ho 0.132 0.132 0.132
Ho 0.868 0.868 0.868
Zn 0.423 0.423 0.423
Zn 0.577 0.577 0.577
Sn 0.265 0.265 0.265
Sn 0.735 0.735 0.735
CELL_PARAMETERS angstrom
2.336 1.349 9.270
-2.336 1.349 9.270
0.000 -2.697 9.270
```

Values from the calculation:
Energy of formation ... -0.34 eV/atom

Material: SrPm2Ho3Te6
Method: DFT, GGA-PBE
State: relaxed Values from VASP.

Cell and atoms, written as Quantum ESPRESSO input:
```
&SYSTEM
  ibrav = 0, nat = 12, ntyp = 4
/
ATOMIC_SPECIES
Sr 87.62 Sr.upf
Pm 145.00 Pm.upf
Ho 164.93 Ho.upf
Te 127.60 Te.upf
ATOMIC_POSITIONS crystal
Sr 0.000 0.000 0.000
Pm 0.327 0.327 0.653
Pm 0.673 0.673 0.347
Ho 0.000 0.000 0.500
Ho 0.334 0.334 0.177
Ho 0.666 0.666 0.823
Te 0.161 0.161 0.589
Te 0.172 0.172 0.078
Te 0.500 0.500 0.262
Te 0.500 0.500 0.738
Te 0.828 0.828 0.922
Te 0.839 0.839 0.411
CELL_PARAMETERS angstrom
9.713 -2.211 0.000
9.713 2.211 0.000
-2.194 0.000 8.660
```

Values from the calculation:
Formation energy from raw total energies ... -1.38 eV/atom

Material: PmHo2Ta
Method: DFT, GGA-PBE
State: relaxed Values from VASP.

Cell and atoms, written as Quantum ESPRESSO input:
```
&SYSTEM
  ibrav = 0, nat = 12, ntyp = 3
/
ATOMIC_SPECIES
Pm 145.00 Pm.upf
Ho 164.93 Ho.upf
Ta 180.95 Ta.upf
ATOMIC_POSITIONS crystal
Pm 0.000 0.000 0.000
Pm 0.333 0.667 0.667
Pm 0.667 0.333 0.333
Ho 0.000 0.000 0.417
Ho 0.000 0.000 0.583
Ho 0.333 0.667 0.084
Ho 0.333 0.667 0.249
Ho 0.667 0.333 0.751
Ho 0.667 0.333 0.916
Ta 0.000 0.000 0.500
Ta 0.333 0.667 0.167
Ta 0.667 0.333 0.833
CELL_PARAMETERS angstrom
3.279 0.000 0.000
-1.640 2.840 0.000
0.000 0.000 35.332
```

Values from the calculation:
Energy of formation ... 0.61 eV/atom

Material: Tb5Pm2Ho
Method: DFT, GGA-PBE
State: relaxed Values from VASP.

Cell and atoms, written as Quantum ESPRESSO input:
```
&SYSTEM
  ibrav = 0, nat = 16, ntyp = 3
/
ATOMIC_SPECIES
Tb 158.93 Tb.upf
Pm 145.00 Pm.upf
Ho 164.93 Ho.upf
ATOMIC_POSITIONS crystal
Tb 0.000 0.000 0.000
Tb 0.001 0.250 0.000
Tb 0.249 0.875 0.500
Tb 0.251 0.375 0.500
Tb 0.499 0.750 0.000
Tb 0.500 0.500 0.000
Tb 0.501 0.250 0.000
Tb 0.749 0.625 0.500
Tb 0.751 0.125 0.500
Tb 0.999 0.750 0.000
Pm 0.250 0.125 0.500
Pm 0.250 0.625 0.500
Pm 0.750 0.375 0.500
Pm 0.750 0.875 0.500
Ho 0.000 0.500 0.000
Ho 0.500 0.000 0.000
CELL_PARAMETERS angstrom
7.161 0.000 0.000
0.000 14.321 0.000
0.000 0.000 5.052
```

Values from the calculation:
Energy of formation ... 0.02 eV/atom
Energy above the most stable polymorph in this dataset ... 0 meV per atom

Material: Tb3PmHo12
Method: DFT, GGA-PBE
State: relaxed Values from VASP.

Cell and atoms, written as Quantum ESPRESSO input:
```
&SYSTEM
  ibrav = 0, nat = 16, ntyp = 3
/
ATOMIC_SPECIES
Tb 158.93 Tb.upf
Pm 145.00 Pm.upf
Ho 164.93 Ho.upf
ATOMIC_POSITIONS crystal
Tb 0.000 0.000 0.000
Tb 0.000 0.000 0.249
Tb 0.000 0.000 0.751
Pm 0.000 0.000 0.500
Ho 0.000 0.500 0.125
Ho 0.000 0.500 0.374
Ho 0.000 0.500 0.626
Ho 0.000 0.500 0.875
Ho 0.500 0.000 0.125
Ho 0.500 0.000 0.374
Ho 0.500 0.000 0.626
Ho 0.500 0.000 0.875
Ho 0.500 0.500 0.000
Ho 0.500 0.500 0.249
Ho 0.500 0.500 0.500
Ho 0.500 0.500 0.751
CELL_PARAMETERS angstrom
5.004 0.000 0.000
0.000 5.004 0.000
0.000 0.000 20.011
```

Values from the calculation:
Energy of formation ... 0.02 eV/atom

Material: TbPm5Ho
Method: DFT, GGA-PBE
State: relaxed Values from VASP.

Cell and atoms, written as Quantum ESPRESSO input:
```
&SYSTEM
  ibrav = 0, nat = 14, ntyp = 3
/
ATOMIC_SPECIES
Tb 158.93 Tb.upf
Pm 145.00 Pm.upf
Ho 164.93 Ho.upf
ATOMIC_POSITIONS crystal
Tb 0.000 0.000 0.000
Tb 0.000 0.000 0.500
Pm 0.016 0.388 0.646
Pm 0.142 0.858 0.750
Pm 0.235 0.541 0.036
Pm 0.388 0.016 0.146
Pm 0.459 0.765 0.464
Pm 0.541 0.235 0.536
Pm 0.612 0.984 0.854
Pm 0.765 0.459 0.964
Pm 0.858 0.142 0.250
Pm 0.984 0.612 0.354
Ho 0.489 0.511 0.750
Ho 0.511 0.489 0.250
CELL_PARAMETERS angstrom
3.089 -8.804 0.000
3.089 8.804 0.000
-1.785 0.000 8.818
```

Values from the calculation:
Energy of formation ... 0.17 eV/atom
Energy above the most stable polymorph in this dataset ... 0 meV per atom

Material: TbPmHo3
Method: DFT, GGA-PBE
State: relaxed Values from VASP.

Cell and atoms, written as Quantum ESPRESSO input:
```
&SYSTEM
  ibrav = 0, nat = 10, ntyp = 3
/
ATOMIC_SPECIES
Tb 158.93 Tb.upf
Pm 145.00 Pm.upf
Ho 164.93 Ho.upf
ATOMIC_POSITIONS crystal
Tb 0.033 0.250 0.400
Tb 0.967 0.750 0.600
Pm 0.432 0.250 0.200
Pm 0.568 0.750 0.800
Ho 0.164 0.750 0.999
Ho 0.234 0.250 0.800
Ho 0.365 0.750 0.401
Ho 0.635 0.250 0.599
Ho 0.766 0.750 0.200
Ho 0.836 0.250 0.001
CELL_PARAMETERS angstrom
6.290 0.000 0.000
0.000 5.656 0.000
-3.143 0.000 9.072
```

Values from the calculation:
Energy of formation ... 0.01 eV/atom
Energy above the most stable polymorph in this dataset ... 0 meV per atom

Material: Tb2Pm2Ho3
Method: DFT, GGA-PBE
State: relaxed Values from VASP.

Cell and atoms, written as Quantum ESPRESSO input:
```
&SYSTEM
  ibrav = 0, nat = 14, ntyp = 3
/
ATOMIC_SPECIES
Tb 158.93 Tb.upf
Pm 145.00 Pm.upf
Ho 164.93 Ho.upf
ATOMIC_POSITIONS crystal
Tb 0.149 0.000 0.333
Tb 0.351 0.500 0.667
Tb 0.649 0.500 0.333
Tb 0.851 0.000 0.667
Pm 0.067 0.500 0.911
Pm 0.433 0.000 0.089
Pm 0.567 0.000 0.911
Pm 0.933 0.500 0.089
Ho 0.000 0.000 0.500
Ho 0.212 0.000 0.801
Ho 0.288 0.500 0.199
Ho 0.500 0.500 0.500
Ho 0.712 0.500 0.801
Ho 0.788 0.000 0.199
CELL_PARAMETERS angstrom
17.518 0.000 0.000
0.000 3.505 0.000
-4.170 0.000 7.472
```

Values from the calculation:
Energy of formation ... 0.12 eV/atom
Energy above the most stable polymorph in this dataset ... 104 meV per atom

Material: Tb3PmHo3
Method: DFT, GGA-PBE
State: relaxed Values from VASP.

Cell and atoms, written as Quantum ESPRESSO input:
```
&SYSTEM
  ibrav = 0, nat = 14, ntyp = 3
/
ATOMIC_SPECIES
Tb 158.93 Tb.upf
Pm 145.00 Pm.upf
Ho 164.93 Ho.upf
ATOMIC_POSITIONS crystal
Tb 0.064 0.288 0.826
Tb 0.174 0.936 0.712
Tb 0.288 0.826 0.064
Tb 0.712 0.174 0.936
Tb 0.826 0.064 0.288
Tb 0.936 0.712 0.174
Pm 0.350 0.350 0.350
Pm 0.650 0.650 0.650
Ho 0.063 0.728 0.570
Ho 0.272 0.430 0.937
Ho 0.430 0.937 0.272
Ho 0.570 0.063 0.728
Ho 0.728 0.570 0.063
Ho 0.937 0.272 0.430
CELL_PARAMETERS angstrom
4.314 2.491 7.240
-4.314 2.491 7.240
0.000 -4.982 7.240
```

Values from the calculation:
Energy of formation ... 0.23 eV/atom
Energy above the most stable polymorph in this dataset ... 219 meV per atom

Material: Tb2Pm2Ho3
Method: DFT, GGA-PBE
State: relaxed Values from VASP.

Cell and atoms, written as Quantum ESPRESSO input:
```
&SYSTEM
  ibrav = 0, nat = 14, ntyp = 3
/
ATOMIC_SPECIES
Tb 158.93 Tb.upf
Pm 145.00 Pm.upf
Ho 164.93 Ho.upf
ATOMIC_POSITIONS crystal
Tb 0.071 0.000 0.288
Tb 0.429 0.500 0.712
Tb 0.571 0.500 0.288
Tb 0.929 0.000 0.712
Pm 0.214 0.000 0.855
Pm 0.286 0.500 0.145
Pm 0.714 0.500 0.855
Pm 0.786 0.000 0.145
Ho 0.000 0.500 0.000
Ho 0.143 0.500 0.570
Ho 0.357 0.000 0.430
Ho 0.500 0.000 0.000
Ho 0.643 0.000 0.570
Ho 0.857 0.500 0.430
CELL_PARAMETERS angstrom
11.817 0.000 0.000
0.000 3.569 0.000
-1.093 0.000 10.674
```

Values from the calculation:
Energy of formation ... 0.02 eV/atom
Energy above the most stable polymorph in this dataset ... 0 meV per atom

Material: Tb3Pm4Ho5
Method: DFT, GGA-PBE
State: relaxed Values from VASP.

Cell and atoms, written as Quantum ESPRESSO input:
```
&SYSTEM
  ibrav = 0, nat = 12, ntyp = 3
/
ATOMIC_SPECIES
Tb 158.93 Tb.upf
Pm 145.00 Pm.upf
Ho 164.93 Ho.upf
ATOMIC_POSITIONS crystal
Tb 0.000 0.000 0.000
Tb 0.168 0.751 0.668
Tb 0.832 0.249 0.332
Pm 0.167 0.248 0.668
Pm 0.332 0.500 0.331
Pm 0.668 0.500 0.669
Pm 0.833 0.752 0.332
Ho 0.000 0.500 0.000
Ho 0.334 0.000 0.331
Ho 0.499 0.752 0.000
Ho 0.501 0.248 0.000
Ho 0.666 0.000 0.669
CELL_PARAMETERS angstrom
6.192 0.000 0.000
-0.013 7.147 0.000
-0.004 -0.016 8.749
```

Values from the calculation:
Energy of formation ... 0.02 eV/atom
Energy above the most stable polymorph in this dataset ... 0 meV per atom

Material: Tb6PmHo12
Method: DFT, GGA-PBE
State: relaxed Values from VASP.

Cell and atoms, written as Quantum ESPRESSO input:
```
&SYSTEM
  ibrav = 0, nat = 19, ntyp = 3
/
ATOMIC_SPECIES
Tb 158.93 Tb.upf
Pm 145.00 Pm.upf
Ho 164.93 Ho.upf
ATOMIC_POSITIONS crystal
Tb 0.053 0.579 0.369
Tb 0.369 0.053 0.579
Tb 0.421 0.631 0.947
Tb 0.579 0.369 0.053
Tb 0.631 0.947 0.421
Tb 0.947 0.421 0.631
Pm 0.000 0.000 0.000
Ho 0.106 0.158 0.737
Ho 0.158 0.737 0.106
Ho 0.211 0.316 0.475
Ho 0.263 0.894 0.842
Ho 0.316 0.475 0.211
Ho 0.475 0.211 0.316
Ho 0.525 0.789 0.684
Ho 0.684 0.525 0.789
Ho 0.737 0.106 0.158
Ho 0.789 0.684 0.525
Ho 0.842 0.263 0.894
Ho 0.894 0.842 0.263
CELL_PARAMETERS angstrom
7.715 4.454 2.891
-7.715 4.454 2.891
0.000 -8.909 2.891
```

Values from the calculation:
Energy of formation ... 0.02 eV/atom
Energy above the most stable polymorph in this dataset ... 0 meV per atom

Material: TbPmHo
Method: DFT, GGA-PBE
State: relaxed Values from VASP.

Cell and atoms, written as Quantum ESPRESSO input:
```
&SYSTEM
  ibrav = 0, nat = 6, ntyp = 3
/
ATOMIC_SPECIES
Tb 158.93 Tb.upf
Pm 145.00 Pm.upf
Ho 164.93 Ho.upf
ATOMIC_POSITIONS crystal
Tb 0.250 0.250 0.197
Tb 0.750 0.750 0.803
Pm 0.250 0.750 0.500
Pm 0.750 0.250 0.500
Ho 0.250 0.250 0.801
Ho 0.750 0.750 0.199
CELL_PARAMETERS angstrom
4.855 0.000 0.000
0.000 4.855 0.000
0.000 0.000 8.664
```

Values from the calculation:
Energy of formation ... 0.23 eV/atom
Energy above the most stable polymorph in this dataset ... 218 meV per atom

Material: Tb6Pm3Ho
Method: DFT, GGA-PBE
State: relaxed Values from VASP.

Cell and atoms, written as Quantum ESPRESSO input:
```
&SYSTEM
  ibrav = 0, nat = 20, ntyp = 3
/
ATOMIC_SPECIES
Tb 158.93 Tb.upf
Pm 145.00 Pm.upf
Ho 164.93 Ho.upf
ATOMIC_POSITIONS crystal
Tb 0.039 0.961 0.500
Tb 0.052 0.471 0.997
Tb 0.273 0.727 0.277
Tb 0.287 0.377 0.178
Tb 0.377 0.287 0.678
Tb 0.471 0.052 0.497
Tb 0.529 0.948 0.997
Tb 0.623 0.713 0.178
Tb 0.713 0.623 0.678
Tb 0.727 0.273 0.777
Tb 0.948 0.529 0.497
Tb 0.961 0.039 0.000
Pm 0.061 0.289 0.591
Pm 0.289 0.061 0.091
Pm 0.387 0.613 0.700
Pm 0.613 0.387 0.200
Pm 0.711 0.939 0.591
Pm 0.939 0.711 0.091
Ho 0.195 0.805 0.756
Ho 0.805 0.195 0.256
CELL_PARAMETERS angstrom
5.470 -9.478 0.000
5.470 9.478 0.000
0.000 0.000 6.365
```

Values from the calculation:
Energy of formation ... 0.15 eV/atom
Energy above the most stable polymorph in this dataset ... 0 meV per atom

Material: TbPm14Ho
Method: DFT, GGA-PBE
State: relaxed Values from VASP.

Cell and atoms, written as Quantum ESPRESSO input:
```
&SYSTEM
  ibrav = 0, nat = 16, ntyp = 3
/
ATOMIC_SPECIES
Tb 158.93 Tb.upf
Pm 145.00 Pm.upf
Ho 164.93 Ho.upf
ATOMIC_POSITIONS crystal
Tb 0.000 0.000 0.000
Pm 0.000 0.000 0.500
Pm 0.000 0.500 0.000
Pm 0.248 0.250 0.250
Pm 0.248 0.250 0.750
Pm 0.248 0.749 0.749
Pm 0.248 0.750 0.250
Pm 0.500 0.000 0.499
Pm 0.500 0.499 0.000
Pm 0.500 0.500 0.500
Pm 0.500 0.999 0.999
Pm 0.752 0.250 0.250
Pm 0.752 0.250 0.750
Pm 0.752 0.749 0.749
Pm 0.752 0.750 0.250
Ho 0.000 0.500 0.500
CELL_PARAMETERS angstrom
10.267 0.000 0.000
0.000 5.146 5.146
0.000 -5.146 5.146
```

Values from the calculation:
Energy of formation ... 0.01 eV/atom

Material: Tb4Pm2Ho3
Method: DFT, GGA-PBE
State: relaxed Values from VASP.

Cell and atoms, written as Quantum ESPRESSO input:
```
&SYSTEM
  ibrav = 0, nat = 18, ntyp = 3
/
ATOMIC_SPECIES
Tb 158.93 Tb.upf
Pm 145.00 Pm.upf
Ho 164.93 Ho.upf
ATOMIC_POSITIONS crystal
Tb 0.094 0.812 0.985
Tb 0.145 0.424 0.152
Tb 0.188 0.906 0.515
Tb 0.424 0.145 0.652
Tb 0.576 0.855 0.348
Tb 0.812 0.094 0.485
Tb 0.855 0.576 0.848
Tb 0.906 0.188 0.015
Pm 0.235 0.522 0.679
Pm 0.478 0.765 0.821
Pm 0.522 0.235 0.179
Pm 0.765 0.478 0.321
Ho 0.068 0.263 0.591
Ho 0.263 0.068 0.091
Ho 0.402 0.598 0.250
Ho 0.598 0.402 0.750
Ho 0.737 0.932 0.909
Ho 0.932 0.737 0.409
CELL_PARAMETERS angstrom
8.117 -5.816 0.000
8.117 5.816 0.000
-0.646 0.000 6.116
```

Values from the calculation:
Energy of formation ... 0.09 eV/atom

no.,N(E_F) (states/eV/cell)
1,4.0
2,13.6
3,25.5
4,8.1
5,7.3
6,5.7
7,16.2
8,21.2
9,20.8
10,20.5
11,15.9
12,21.3
13,23.1
14,17.6
15,15.1
16,24.8
17,7.1
18,26.9
19,24.4
20,25.0